(1)
The following is a PBE calculation of a relaxed structure of ZrMn22C6, from Alexandria via LeMat-Bulk.

Values from the calculation:
Formation energy = -0.0260 eV per atom
Space-group type = Fm-3m

The structure in CIF format:
```
data_ZrMn22C6
_chemical_formula_sum 'Zr1 Mn22 C6'
_symmetry_space_group_name_H-M 'P 1'
_symmetry_Int_Tables_number 1
_symmetry_space_group_name_Hall 'P 1'
_cell_length_a 7.4169
_cell_length_b 7.4169
_cell_length_c 7.4169
_cell_angle_alpha 60.00
_cell_angle_beta 60.00
_cell_angle_gamma 60.00
loop_
_atom_site_label
_atom_site_type_symbol
_atom_site_fract_x
_atom_site_fract_y
_atom_site_fract_z
Mn1 Mn 0.0000 0.3509 0.0000
Mn2 Mn 0.6170 0.6170 0.6170
Mn3 Mn 0.0000 0.3509 0.6491
Mn4 Mn 0.3830 0.3830 0.8511
Mn5 Mn 0.6491 0.0000 0.0000
Mn6 Mn 0.6170 0.1489 0.6170
Mn7 Mn 0.3509 0.0000 0.0000
Mn8 Mn 0.0000 0.0000 0.6491
Mn9 Mn 0.3509 0.0000 0.6491
Mn10 Mn 0.6491 0.3509 0.0000
Mn11 Mn 0.0000 0.0000 0.3509
Mn12 Mn 0.8511 0.3830 0.3830
Mn13 Mn 0.6170 0.6170 0.1489
Mn14 Mn 0.0000 0.6491 0.3509
Mn15 Mn 0.3830 0.3830 0.3830
Mn16 Mn 0.3830 0.8511 0.3830
Mn17 Mn 0.2500 0.2500 0.2500
Mn18 Mn 0.1489 0.6170 0.6170
Mn19 Mn 0.7500 0.7500 0.7500
Mn20 Mn 0.3509 0.6491 0.0000
Mn21 Mn 0.6491 0.0000 0.3509
Mn22 Mn 0.0000 0.6491 0.0000
C1 C 0.7302 0.2698 0.2698
C2 C 0.2698 0.7302 0.7302
C3 C 0.2698 0.2698 0.7302
C4 C 0.7302 0.2698 0.7302
C5 C 0.7302 0.7302 0.2698
C6 C 0.2698 0.7302 0.2698
Zr1 Zr 0.0000 0.0000 0.0000
```

(2)
The following is a PBE calculation of a relaxed structure of Zr2Mn2C, from Alexandria via LeMat-Bulk.

Values from the calculation:
Formation energy = 0.6497 eV per atom
Space-group type = I4/mmm

The structure in CIF format:
```
data_Zr2Mn2C
_chemical_formula_sum 'Zr2 Mn2 C1'
_symmetry_space_group_name_H-M 'P 1'
_symmetry_Int_Tables_number 1
_symmetry_space_group_name_Hall 'P 1'
_cell_length_a 5.0939
_cell_length_b 5.0939
_cell_length_c 4.7343
_cell_angle_alpha 57.45
_cell_angle_beta 57.45
_cell_angle_gamma 90.00
loop_
_atom_site_label
_atom_site_type_symbol
_atom_site_fract_x
_atom_site_fract_y
_atom_site_fract_z
Zr1 Zr 0.2500 0.7500 0.5000
Zr2 Zr 0.7500 0.2500 0.5000
C1 C 0.0000 0.0000 0.0000
Mn1 Mn 0.7020 0.7020 0.5960
Mn2 Mn 0.2980 0.2980 0.4040
```

(3)
The following is a PBE calculation of a relaxed structure of ZrMn2C, from Alexandria via LeMat-Bulk.

Values from the calculation:
Formation energy = 0.4459 eV per atom
Space-group type = I-42d

The structure in CIF format:
```
data_ZrMn2C
_chemical_formula_sum 'Zr2 Mn4 C2'
_symmetry_space_group_name_H-M 'P 1'
_symmetry_Int_Tables_number 1
_symmetry_space_group_name_Hall 'P 1'
_cell_length_a 5.7112
_cell_length_b 5.7112
_cell_length_c 5.5064
_cell_angle_alpha 58.76
_cell_angle_beta 58.76
_cell_angle_gamma 90.00
loop_
_atom_site_label
_atom_site_type_symbol
_atom_site_fract_x
_atom_site_fract_y
_atom_site_fract_z
Mn1 Mn 0.2648 0.6250 0.2500
Mn2 Mn 0.4852 0.1250 0.2500
Mn3 Mn 0.8750 0.7352 0.7500
Mn4 Mn 0.3750 0.5148 0.7500
C1 C 0.5000 0.5000 0.0000
C2 C 0.2500 0.7500 0.5000
Zr1 Zr 0.0000 0.0000 0.0000
Zr2 Zr 0.7500 0.2500 0.5000
```

(4)
The following is a PBE calculation of a relaxed structure of Zr2Mn2C, from Alexandria via LeMat-Bulk.

Values from the calculation:
Formation energy = 0.3186 eV per atom
Space-group type = P4/mbm

The structure in CIF format:
```
data_Zr2Mn2C
_chemical_formula_sum 'Zr4 Mn4 C2'
_symmetry_space_group_name_H-M 'P 1'
_symmetry_Int_Tables_number 1
_symmetry_space_group_name_Hall 'P 1'
_cell_length_a 5.4860
_cell_length_b 5.4860
_cell_length_c 4.7933
_cell_angle_alpha 90.00
_cell_angle_beta 90.00
_cell_angle_gamma 90.00
loop_
_atom_site_label
_atom_site_type_symbol
_atom_site_fract_x
_atom_site_fract_y
_atom_site_fract_z
Mn1 Mn 0.3352 0.8352 0.0000
Mn2 Mn 0.1648 0.3352 0.0000
Mn3 Mn 0.8352 0.6648 0.0000
Mn4 Mn 0.6648 0.1648 0.0000
Zr1 Zr 0.3244 0.1756 0.5000
Zr2 Zr 0.6756 0.8244 0.5000
Zr3 Zr 0.1756 0.6756 0.5000
Zr4 Zr 0.8244 0.3244 0.5000
C1 C 0.5000 0.5000 0.0000
C2 C 0.0000 0.0000 0.0000
```

(5)
The following is a PBE calculation of a relaxed structure of ZrMnC3, from Alexandria via LeMat-Bulk.

Values from the calculation:
Formation energy = 1.0243 eV per atom
Space-group type = Pm-3m

The structure in CIF format:
```
data_ZrMnC3
_chemical_formula_sum 'Zr1 Mn1 C3'
_symmetry_space_group_name_H-M 'P 1'
_symmetry_Int_Tables_number 1
_symmetry_space_group_name_Hall 'P 1'
_cell_length_a 3.7488
_cell_length_b 3.7488
_cell_length_c 3.7488
_cell_angle_alpha 90.00
_cell_angle_beta 90.00
_cell_angle_gamma 90.00
loop_
_atom_site_label
_atom_site_type_symbol
_atom_site_fract_x
_atom_site_fract_y
_atom_site_fract_z
Mn1 Mn 0.0000 0.0000 0.0000
C1 C 0.0000 0.0000 0.5000
C2 C 0.5000 0.0000 0.0000
C3 C 0.0000 0.5000 0.0000
Zr1 Zr 0.5000 0.5000 0.5000
```

(6)
The following is a PBE calculation of a relaxed structure of ZrMnC3, from Alexandria via LeMat-Bulk.

Values from the calculation:
Formation energy = 2.6746 eV per atom
Space-group type = Pm-3m

The structure in CIF format:
```
data_ZrMnC3
_chemical_formula_sum 'Zr1 Mn1 C3'
_symmetry_space_group_name_H-M 'P 1'
_symmetry_Int_Tables_number 1
_symmetry_space_group_name_Hall 'P 1'
_cell_length_a 4.2423
_cell_length_b 4.2423
_cell_length_c 4.2423
_cell_angle_alpha 90.00
_cell_angle_beta 90.00
_cell_angle_gamma 90.00
loop_
_atom_site_label
_atom_site_type_symbol
_atom_site_fract_x
_atom_site_fract_y
_atom_site_fract_z
Zr1 Zr 0.0000 0.0000 0.0000
Mn1 Mn 0.5000 0.5000 0.5000
C1 C 0.0000 0.5000 0.0000
C2 C 0.0000 0.0000 0.5000
C3 C 0.5000 0.0000 0.0000
```

(7)
The following is a PBE calculation of a relaxed structure of MoC3, from Alexandria via LeMat-Bulk.

Values from the calculation:
Formation energy = 1.4654 eV per atom
Space-group type = Pmmn

The structure in CIF format:
```
data_MoC3
_chemical_formula_sum 'Mo2 C6'
_symmetry_space_group_name_H-M 'P 1'
_symmetry_Int_Tables_number 1
_symmetry_space_group_name_Hall 'P 1'
_cell_length_a 3.7230
_cell_length_b 4.1291
_cell_length_c 4.6678
_cell_angle_alpha 90.00
_cell_angle_beta 90.00
_cell_angle_gamma 90.00
loop_
_atom_site_label
_atom_site_type_symbol
_atom_site_fract_x
_atom_site_fract_y
_atom_site_fract_z
Mo1 Mo 0.5000 0.3151 0.5000
Mo2 Mo 0.0000 0.6849 0.0000
C1 C 0.5000 0.9996 0.8515
C2 C 0.0000 0.0004 0.6485
C3 C 0.0000 0.6508 0.5000
C4 C 0.5000 0.9996 0.1485
C5 C 0.5000 0.3492 0.0000
C6 C 0.0000 0.0004 0.3515
```

(8)
The following is a PBE calculation of a relaxed structure of MoC3, from Alexandria via LeMat-Bulk.

Values from the calculation:
Formation energy = 0.8673 eV per atom
Space-group type = Pnma

The structure in CIF format:
```
data_MoC3
_chemical_formula_sum 'Mo4 C12'
_symmetry_space_group_name_H-M 'P 1'
_symmetry_Int_Tables_number 1
_symmetry_space_group_name_Hall 'P 1'
_cell_length_a 5.9666
_cell_length_b 5.3749
_cell_length_c 5.5690
_cell_angle_alpha 90.00
_cell_angle_beta 90.00
_cell_angle_gamma 90.00
loop_
_atom_site_label
_atom_site_type_symbol
_atom_site_fract_x
_atom_site_fract_y
_atom_site_fract_z
Mo1 Mo 0.3723 0.0984 0.2500
Mo2 Mo 0.1277 0.5984 0.2500
Mo3 Mo 0.6277 0.9016 0.7500
Mo4 Mo 0.8723 0.4016 0.7500
C1 C 0.2140 0.3235 0.5104
C2 C 0.2822 0.8304 0.7500
C3 C 0.7140 0.1765 0.4896
C4 C 0.2140 0.3235 0.9896
C5 C 0.2860 0.8235 0.9896
C6 C 0.2178 0.3304 0.7500
C7 C 0.7860 0.6765 0.4896
C8 C 0.7822 0.6696 0.2500
C9 C 0.2860 0.8235 0.5104
C10 C 0.7178 0.1696 0.2500
C11 C 0.7860 0.6765 0.0104
C12 C 0.7140 0.1765 0.0104
```

(9)
The following is a PBE calculation of a relaxed structure of MoC8, from Alexandria via LeMat-Bulk.

Values from the calculation:
Formation energy = 2.4716 eV per atom
Space-group type = I4/mmm

The structure in CIF format:
```
data_MoC8
_chemical_formula_sum 'Mo1 C8'
_symmetry_space_group_name_H-M 'P 1'
_symmetry_Int_Tables_number 1
_symmetry_space_group_name_Hall 'P 1'
_cell_length_a 8.5929
_cell_length_b 8.5929
_cell_length_c 8.5929
_cell_angle_alpha 91.21
_cell_angle_beta 91.21
_cell_angle_gamma 163.27
loop_
_atom_site_label
_atom_site_type_symbol
_atom_site_fract_x
_atom_site_fract_y
_atom_site_fract_z
C1 C 0.0000 0.4262 0.4262
C2 C 0.7501 0.7501 0.5002
C3 C 0.0000 0.5738 0.5738
C4 C 0.4262 0.0000 0.4262
C5 C 0.7501 0.2499 0.0000
C6 C 0.2499 0.2499 0.4998
C7 C 0.5738 0.0000 0.5738
C8 C 0.2499 0.7501 0.0000
Mo1 Mo 0.0000 0.0000 0.0000
```

(10)
The following is a PBE calculation of a relaxed structure of Mo3C, from Alexandria via LeMat-Bulk.

Values from the calculation:
Formation energy = 0.2334 eV per atom
Space-group type = Imm2

The structure in CIF format:
```
data_Mo3C
_chemical_formula_sum 'Mo3 C1'
_symmetry_space_group_name_H-M 'P 1'
_symmetry_Int_Tables_number 1
_symmetry_space_group_name_Hall 'P 1'
_cell_length_a 4.7187
_cell_length_b 4.7187
_cell_length_c 4.7187
_cell_angle_alpha 143.99
_cell_angle_beta 117.67
_cell_angle_gamma 74.13
loop_
_atom_site_label
_atom_site_type_symbol
_atom_site_fract_x
_atom_site_fract_y
_atom_site_fract_z
C1 C 0.9402 0.0000 0.9402
Mo1 Mo 0.6125 0.5000 0.1125
Mo2 Mo 0.3234 0.6831 0.6403
Mo3 Mo 0.9572 0.3169 0.6403
```

(11)
The following is a PBE calculation of a relaxed structure of Mo3C, from Alexandria via LeMat-Bulk.

Values from the calculation:
Formation energy = 0.8732 eV per atom
Space-group type = I4/mmm

The structure in CIF format:
```
data_Mo3C
_chemical_formula_sum 'Mo6 C2'
_symmetry_space_group_name_H-M 'P 1'
_symmetry_Int_Tables_number 1
_symmetry_space_group_name_Hall 'P 1'
_cell_length_a 9.3828
_cell_length_b 9.3828
_cell_length_c 9.3828
_cell_angle_alpha 158.44
_cell_angle_beta 158.44
_cell_angle_gamma 30.67
loop_
_atom_site_label
_atom_site_type_symbol
_atom_site_fract_x
_atom_site_fract_y
_atom_site_fract_z
Mo1 Mo 0.5000 0.0000 0.5000
Mo2 Mo 0.8760 0.8760 0.0000
Mo3 Mo 0.1240 0.1240 0.0000
Mo4 Mo 0.0000 0.5000 0.5000
Mo5 Mo 0.2500 0.7500 0.5000
Mo6 Mo 0.7500 0.2500 0.5000
C1 C 0.5864 0.5864 0.0000
C2 C 0.4136 0.4136 0.0000
```

(12)
The following is a PBE calculation of a relaxed structure of MoC3, from Alexandria via LeMat-Bulk.

Values from the calculation:
Formation energy = 2.2459 eV per atom
Space-group type = I4/mmm

The structure in CIF format:
```
data_MoC3
_chemical_formula_sum 'Mo1 C3'
_symmetry_space_group_name_H-M 'P 1'
_symmetry_Int_Tables_number 1
_symmetry_space_group_name_Hall 'P 1'
_cell_length_a 4.3620
_cell_length_b 4.3620
_cell_length_c 4.3620
_cell_angle_alpha 139.43
_cell_angle_beta 139.43
_cell_angle_gamma 58.71
loop_
_atom_site_label
_atom_site_type_symbol
_atom_site_fract_x
_atom_site_fract_y
_atom_site_fract_z
C1 C 0.7500 0.2500 0.5000
C2 C 0.5000 0.5000 0.0000
C3 C 0.2500 0.7500 0.5000
Mo1 Mo 0.0000 0.0000 0.0000
```